1.
# KAu2O6 | Alexandria via LeMat-Bulk | PBE-GGA | relaxed
# DFT total energy: -79.803 eV for the cell shown
# Spin magnetization: 1.0 μB/f.u.
# Formation energy from raw total energies: -0.28 eV per atom
# Density of states at the Fermi level: 7.70 states/eV/cell
data_KAu2O6
_chemical_formula_sum 'K2 Au4 O12'
_cell_length_a 4.098
_cell_length_b 6.991
_cell_length_c 11.434
_cell_angle_alpha 84.55
_cell_angle_beta 83.58
_cell_angle_gamma 73.07
_symmetry_space_group_name_H-M 'P -1'
_symmetry_Int_Tables_number 2
loop_
_symmetry_equiv_pos_as_xyz
'x,y,z'
'-x,-y,-z'
loop_
_atom_site_label
_atom_site_type_symbol
_atom_site_fract_x
_atom_site_fract_y
_atom_site_fract_z
K1 K 0.013 0.233 0.247
Au1 Au 0.250 0.662 0.073
Au2 Au 0.417 0.185 0.570
O1 O 0.015 0.964 0.058
O2 O 0.033 0.642 0.241
O3 O 0.301 0.227 0.746
O4 O 0.372 0.485 0.541
O5 O 0.458 0.890 0.599
O6 O 0.497 0.367 0.090

---

2.
# NaAcTbCd | Alexandria via LeMat-Bulk | PBE-GGA | relaxed
# DFT total energy: -43.371 eV for the cell shown
# DFT formation energy: 3.1 kJ/mol of atoms
# Spin magnetization: 0.0 μB/f.u.
# Density of states at the Fermi level: 25.63 states/eV/cell
data_NaAcTbCd
_chemical_formula_sum 'Na4 Ac4 Tb4 Cd4'
_cell_length_a 8.004
_cell_length_b 8.004
_cell_length_c 8.004
_cell_angle_alpha 90.00
_cell_angle_beta 90.00
_cell_angle_gamma 90.00
_symmetry_space_group_name_H-M 'F -4 3 m'
_symmetry_Int_Tables_number 216
_symmetry_space_group_name_Hall 'F -4 2 3'
loop_
_atom_site_label
_atom_site_type_symbol
_atom_site_fract_x
_atom_site_fract_y
_atom_site_fract_z
Na1 Na 0.000 0.000 0.000
Ac1 Ac 0.250 0.250 0.250
Tb1 Tb 0.250 0.250 0.750
Cd1 Cd 0.000 0.000 0.500

---

3.
# GeP2PbO8 | Alexandria via LeMat-Bulk | PBE-GGA | relaxed
# DFT total energy: -242.383 eV for the cell shown
# Spin magnetization: 0.0 μB/f.u.
# Formation energy from raw total energies: -1.83 eV per atom
# Density of states at the Fermi level: 0.00 states/eV/cell
data_GeP2PbO8
_chemical_formula_sum 'Ge3 P6 Pb3 O24'
_cell_length_a 4.7526
_cell_length_b 4.7526
_cell_length_c 23.3923
_cell_angle_alpha 90.00
_cell_angle_beta 90.00
_cell_angle_gamma 120.00
_symmetry_space_group_name_H-M 'R 3 2'
_symmetry_Int_Tables_number 155
_symmetry_space_group_name_Hall 'R 3 2"'
loop_
_atom_site_label
_atom_site_type_symbol
_atom_site_fract_x
_atom_site_fract_y
_atom_site_fract_z
Ge1 Ge 0.0000 0.0000 0.0000
P1 P 0.0000 0.0000 0.2600
Pb1 Pb 0.0000 0.0000 0.5000
O1 O 0.0000 0.0000 0.1941
O2 O 0.0001 0.3872 0.3861

---

4.
# Tc2RhSe | Alexandria via LeMat-Bulk | PBE-GGA | relaxed
# DFT total energy: -93.067 eV for the cell shown
# Spin magnetization: 0.0 μB/f.u.
# Formation energy from raw total energies: 0.14 eV per atom
# Density of states at the Fermi level: 11.74 states/eV/cell
data_Tc2RhSe
_chemical_formula_sum 'Tc6 Rh3 Se3'
_cell_length_a 2.8523
_cell_length_b 2.8523
_cell_length_c 25.5616
_cell_angle_alpha 90.00
_cell_angle_beta 90.00
_cell_angle_gamma 120.00
_symmetry_space_group_name_H-M 'R 3 m'
_symmetry_Int_Tables_number 160
_symmetry_space_group_name_Hall 'R 3 -2"'
loop_
_atom_site_label
_atom_site_type_symbol
_atom_site_fract_x
_atom_site_fract_y
_atom_site_fract_z
Tc1 Tc 0.0000 0.0000 0.0000
Tc2 Tc 0.0000 0.0000 0.2490
Rh1 Rh 0.0000 0.0000 0.7515
Se1 Se 0.0000 0.0000 0.5028

---

5.
# MgTl3Sn | Alexandria via LeMat-Bulk | PBE-GGA | relaxed
# Energy above the lowest structure with this stoichiometry: 0 meV/atom
# DFT total energy: -11.014 eV for the cell shown
# DFT formation energy: 32.5 kJ/mol of atoms
# Spin magnetization: 0.0 μB/f.u.
# Density of states at the Fermi level: 5.17 states/eV/cell
data_MgTl3Sn
_chemical_formula_sum 'Mg1 Tl3 Sn1'
_cell_length_a 5.496
_cell_length_b 5.496
_cell_length_c 5.496
_cell_angle_alpha 90.00
_cell_angle_beta 90.00
_cell_angle_gamma 90.00
_symmetry_space_group_name_H-M 'P m -3 m'
_symmetry_Int_Tables_number 221
_symmetry_space_group_name_Hall '-P 4 2 3'
loop_
_atom_site_label
_atom_site_type_symbol
_atom_site_fract_x
_atom_site_fract_y
_atom_site_fract_z
Mg1 Mg 0.000 0.000 0.000
Tl1 Tl 0.000 0.000 0.500
Sn1 Sn 0.500 0.500 0.500

---

6.
# BeRhSe2F | Alexandria via LeMat-Bulk | PBE-GGA | relaxed
# DFT total energy: -18.721 eV for the cell shown
# Spin magnetization: 0.0 μB/f.u.
# Formation energy from raw total energies: 0.24 eV per atom
# Density of states at the Fermi level: 4.46 states/eV/cell
data_BeRhSe2F
_chemical_formula_sum 'Be1 Rh1 Se2 F1'
_cell_length_a 4.363
_cell_length_b 4.363
_cell_length_c 4.294
_cell_angle_alpha 90.00
_cell_angle_beta 90.00
_cell_angle_gamma 90.00
_symmetry_space_group_name_H-M 'P 4/m m m'
_symmetry_Int_Tables_number 123
_symmetry_space_group_name_Hall '-P 4 2'
loop_
_atom_site_label
_atom_site_type_symbol
_atom_site_fract_x
_atom_site_fract_y
_atom_site_fract_z
Be1 Be 0.000 0.000 0.000
Rh1 Rh 0.000 0.000 0.500
Se1 Se 0.000 0.500 0.000
F1 F 0.500 0.500 0.500

---

7.
# ReTeCl2 | Alexandria via LeMat-Bulk | PBE-GGA | relaxed
# Energy above the lowest structure with this stoichiometry: 932 meV/atom
# DFT total energy: -31.741 eV for the cell shown
# Spin magnetization: 1.9 μB/f.u.
# Formation energy from raw total energies: 0.85 eV per atom
# Density of states at the Fermi level: 4.57 states/eV/cell
data_ReTeCl2
_chemical_formula_sum 'Re2 Te2 Cl4'
_cell_length_a 5.768
_cell_length_b 9.165
_cell_length_c 4.178
_cell_angle_alpha 90.00
_cell_angle_beta 131.96
_cell_angle_gamma 90.00
_symmetry_space_group_name_H-M 'C 1 2/m 1'
_symmetry_Int_Tables_number 12
loop_
_symmetry_equiv_pos_as_xyz
'x,y,z'
'-x,-y,-z'
'-x,y,-z'
'x,-y,z'
'x+1/2,y+1/2,z'
'-x+1/2,-y+1/2,-z'
'-x+1/2,y+1/2,-z'
'x+1/2,-y+1/2,z'
loop_
_atom_site_label
_atom_site_type_symbol
_atom_site_fract_x
_atom_site_fract_y
_atom_site_fract_z
Re1 Re 0.000 0.000 0.000
Te1 Te 0.000 0.500 0.000
Cl1 Cl 0.250 0.250 0.500

---

8.
# Ca2P3Pt | Alexandria via LeMat-Bulk | PBE-GGA | relaxed
# DFT total energy: -253.023 eV for the cell shown
# DFT formation energy: -86.1 kJ/mol of atoms
# Spin magnetization: 0.0 μB/f.u.
# Density of states at the Fermi level: 9.69 states/eV/cell
data_Ca2P3Pt
_chemical_formula_sum 'Ca16 P24 Pt8'
_cell_length_a 8.351
_cell_length_b 8.838
_cell_length_c 13.141
_cell_angle_alpha 90.00
_cell_angle_beta 90.00
_cell_angle_gamma 90.00
_symmetry_space_group_name_H-M 'F m m m'
_symmetry_Int_Tables_number 69
_symmetry_space_group_name_Hall '-F 2 2'
loop_
_atom_site_label
_atom_site_type_symbol
_atom_site_fract_x
_atom_site_fract_y
_atom_site_fract_z
Ca1 Ca 0.247 0.000 0.000
Ca2 Ca 0.250 0.250 0.250
P1 P 0.000 0.000 0.147
P2 P 0.000 0.228 0.416
Pt1 Pt 0.000 0.000 0.324